Here is crystalline ScBeP3 at its relaxed geometry from Alexandria via LeMat-Bulk. Energies are from PBE.

a b c (Å): 4.8725 4.8725 4.8725
angles (deg): 90.00 90.00 90.00
Last column: nearest neighbours and their distance in Å.
Atoms (fractional coordinates):
Be1 0.5000 0.5000 0.5000  12 P 3.45
P1 0.0000 0.5000 0.0000  2 Sc 2.44
Sc1 0.0000 0.0000 0.0000  6 P 2.44
P2 0.0000 0.0000 0.5000  2 Sc 2.44
P3 0.5000 0.0000 0.0000  2 Sc 2.44

Calculated values
Crystal system ... cubic
E_form ... 0.9440 eV per atom
DFT total energy ... -4.31 eV per atom